Crystalline VHgF2 at its relaxed geometry, computed with PBE with a Hubbard U.

Lattice parameters (Å, degrees): 5.7109 5.7109 7.0617 66.15 66.15 90.00
Last column: magnetic moment on the atom in μB.
Fractional positions:
F: 0.3750 0.6244 0.7500  0.01
Hg: 0.7500 0.2500 0.5000  0.01
Hg: 0.0000 0.0000 0.0000  0.01
V: 0.2500 0.7500 0.5000  2.72
F: 0.8750 0.6256 0.7500  0.01
F: 0.3756 0.1250 0.2500  0.01
V: 0.5000 0.5000 0.0000  2.72
F: 0.3744 0.6250 0.2500  0.01

total DFT energy (no corrections): -4.535 eV per atom
ΔE to the lowest computed polymorph: 0.249 eV per atom
size of the total moment: 3.000 μB per formula unit